Material: Ti2GePt
Method: DFT, PBE
State: optimized geometry

Cell and atoms, written as POSCAR:
```
Ti2GePt
1.0
-1.7694 -2.1561 -0.4939
1.9892 -1.2745 -1.5628
2.6521 -3.6274 6.3341
Ge Pt Ti
1 1 2
direct
0.5000 0.5000 0.0000
0.5000 0.5000 0.5000
0.0000 0.0000 0.7497
0.0000 0.0000 0.2503
```

Properties
ΔH_f (0 K) in eV per atom: -0.68
Crystal system: tetragonal
Magnetization in μB per cell: 0.0

---

Material: YGaCuPt3
Method: DFT, PBE
State: optimized geometry

Cell and atoms, written as POSCAR:
```
YGaCuPt3
1.0
-4.0081 1.9464 3.5642
-3.8456 -0.2942 -4.1639
0.5012 -5.9766 3.8275
Y Ga Cu Pt
2 2 2 6
direct
0.7500 0.3281 0.6562
0.2500 0.6719 0.3438
0.2500 0.3759 0.7518
0.7500 0.6241 0.2482
0.2500 0.8761 0.7522
0.7500 0.1239 0.2478
0.2500 0.1843 0.3687
0.0000 0.2451 0.0000
0.5000 0.7549 0.0000
0.5000 0.2451 0.0000
0.0000 0.7549 0.0000
0.7500 0.8157 0.6313
```

Properties
ΔH_f (0 K) in eV per atom: -0.60
Crystal system: orthorhombic
Magnetization in μB per cell: 0.0

---

Material: Dy4Ge6Ir7
Method: DFT, PBE
State: optimized geometry

Cell and atoms, written as POSCAR:
```
Dy4Ge6Ir7
1.0
-6.8670 -0.0600 -2.4212
1.7112 -6.5791 2.6093
0.6647 4.9579 5.2914
Dy Ge Ir
4 6 7
direct
0.0000 0.0000 0.5000
0.0000 0.5000 0.0000
0.5000 0.0000 0.0000
0.5000 0.5000 0.5000
0.6817 0.6817 0.0000
0.3183 0.0000 0.3183
0.0000 0.3183 0.3183
0.3183 0.3183 0.0000
0.6817 0.0000 0.6817
0.0000 0.6817 0.6817
0.7500 0.2500 0.5000
0.7500 0.5000 0.2500
0.5000 0.2500 0.7500
0.2500 0.5000 0.7500
0.2500 0.7500 0.5000
0.5000 0.7500 0.2500
0.0000 0.0000 0.0000
```

Properties
ΔH_f (0 K) in eV per atom: -0.87
Crystal system: cubic
Magnetization in μB per cell: 0.0

---

Material: AcSm8Ho2
Method: DFT, PBE
State: optimized geometry

Cell and atoms, written as POSCAR:
```
AcSm8Ho2
1.0
5.5784 -0.4858 -0.3393
0.4257 10.0889 2.7027
0.4257 6.0097 8.5425
Ac Sm Ho
1 8 2
direct
0.0000 0.0000 0.0000
0.2715 0.1338 0.5939
0.2715 0.5939 0.1338
0.7285 0.8662 0.4061
0.2409 0.5454 0.5454
0.7285 0.4061 0.8662
0.2331 0.1903 0.1903
0.7669 0.8097 0.8097
0.7591 0.4546 0.4546
0.7510 0.2853 0.2853
0.2490 0.7147 0.7147
```

Properties
ΔH_f (0 K) in eV per atom: 0.12
Crystal system: monoclinic
Energy above the lowest structure with this stoichiometry in kJ/mol of atoms: 0.00
Magnetization in μB per cell: 0.0

---

- Number 1 is which compound?
  Ti2GePt